[1]
Material: Pm3Al3In2Co
Method: DFT, PBE
State: relaxed

abc: 4.4769 7.2857 7.2857
angles: 120.00 90.00 90.00
Positions (direct):
Pm 0.0000 0.0000 0.3832
Pm 0.0000 0.6168 0.6168
Pm 0.0000 0.3832 0.0000
Al 0.5000 0.7829 0.0000
Al 0.5000 0.2171 0.2171
Al 0.5000 0.0000 0.7829
In 0.5000 0.3333 0.6667
In 0.5000 0.6667 0.3333
Co 0.0000 0.0000 0.0000

Results
Space group: P-62m, No. 189
Uncorrected energy (eV per atom): -4.684



[2]
Material: RbAl2InCo
Method: DFT, PBE
State: relaxed

abc: 5.4003 5.1127 5.4003
angles: 90.00 90.00 90.00
Positions (direct):
Co 0.0000 0.5000 0.0000
Al 0.0000 0.0000 0.5000
Al 0.5000 0.0000 0.0000
Rb 0.5000 0.5000 0.5000
In 0.0000 0.0000 0.0000

Results
Space group: P4/mmm, No. 123
Uncorrected energy (eV per atom): -2.787



- The lowest uncorrected energy belongs to which entry?
  Pm3Al3In2Co



- Number 2 is which compound?
  RbAl2InCo